# 1
DFT (PBE) results for crystalline La4CoRu at its relaxed geometry.

Computed properties:
* ρ: 6.33 Mg/m³
* size of the total moment: 0.00 μB per formula unit
* relative energy among the computed polymorphs: 0 meV per atom
* calculated formation energy: -1.145 eV/f.u.
* E_tot: -37.24 eV per formula unit
* crystal system: monoclinic
* space group: P2_1/c (14)

Unit cell a=6.624 b=7.934 c=7.929 alpha=115.75 beta=90.00 gamma=90.00
Positions (direct):
La (0.285, 0.345, 0.665)
La (0.215, 0.845, 0.665)
La (0.715, 0.655, 0.335)
La (0.282, 0.831, 0.158)
La (0.218, 0.331, 0.158)
La (0.785, 0.155, 0.335)
La (0.718, 0.169, 0.842)
La (0.782, 0.669, 0.842)
Co (0.000, 0.000, 0.000)
Co (0.500, 0.500, 0.000)
Ru (0.500, 0.000, 0.500)
Ru (0.000, 0.500, 0.500)

---

# 2
DFT (PBE) results for crystalline Ba2CoPb at its relaxed geometry.

Computed properties:
* ρ: 6.55 Mg/m³
* size of the total moment: 1.34 μB per formula unit
* calculated formation energy: 0.555 eV/f.u.
* E_tot: -14.11 eV per formula unit
* crystal system: monoclinic
* space group: P2/m (10)

Unit cell a=3.976 b=3.957 c=9.569 alpha=65.52 beta=90.00 gamma=90.00
Positions (direct):
Ba (0.000, 0.531, 0.468)
Ba (0.000, 0.969, 0.032)
Pb (0.500, 0.750, 0.750)
Co (0.500, 0.250, 0.250)

---

# 3
DFT (PBE) results for crystalline LaBe2Mo at its relaxed geometry.

Computed properties:
* ρ: 5.48 Mg/m³
* size of the total moment: 0.00 μB per formula unit
* relative energy among the computed polymorphs: 364 meV per atom
* calculated formation energy: 2.146 eV/f.u.
* E_tot: -21.06 eV per formula unit
* crystal system: tetragonal
* space group: I4_1/amd (141)

Unit cell a=4.256 b=4.256 c=8.983 alpha=76.30 beta=76.30 gamma=90.00
Positions (direct):
Mo (0.500, 0.500, 0.000)
Mo (0.250, 0.750, 0.500)
Be (0.375, 0.125, 0.250)
Be (0.875, 0.625, 0.750)
Be (0.375, 0.625, 0.750)
Be (0.375, 0.625, 0.250)
La (0.750, 0.250, 0.500)
La (0.000, 0.000, 0.000)

---

# 4
DFT (PBE) results for crystalline Y2TiNb at its relaxed geometry.

Computed properties:
* ρ: 5.59 Mg/m³
* size of the total moment: 0.00 μB per formula unit
* relative energy among the computed polymorphs: 0 meV per atom
* calculated formation energy: 1.824 eV/f.u.
* E_tot: -29.07 eV per formula unit
* crystal system: cubic
* space group: Fm-3m (225)

Unit cell a=5.117 b=5.117 c=5.117 alpha=60.00 beta=60.00 gamma=60.00
Positions (direct):
Y (0.250, 0.250, 0.250)
Y (0.750, 0.750, 0.750)
Nb (0.500, 0.500, 0.500)
Ti (0.000, 0.000, 0.000)

---

# 5
DFT (PBE) results for crystalline Rb3CuGe2I9 at its relaxed geometry.

Computed properties:
* ρ: 4.50 Mg/m³
* size of the total moment: 0.00 μB per formula unit
* E_tot: -40.77 eV per formula unit
* crystal system: trigonal
* space group: P-3m1 (164)

Unit cell a=8.237 b=8.237 c=10.085 alpha=90.00 beta=90.00 gamma=120.00
Positions (direct):
I (0.500, 0.500, 0.000)
I (0.675, 0.837, 0.338)
I (0.837, 0.163, 0.662)
I (0.500, 0.000, 0.000)
I (0.325, 0.163, 0.662)
I (0.837, 0.675, 0.662)
I (0.000, 0.500, 0.000)
I (0.163, 0.837, 0.338)
I (0.163, 0.325, 0.338)
Rb (0.000, 0.000, 0.000)
Rb (0.333, 0.667, 0.666)
Rb (0.667, 0.333, 0.334)
Ge (0.333, 0.667, 0.179)
Ge (0.667, 0.333, 0.821)
Cu (0.000, 0.000, 0.500)

---

# 6
DFT (PBE) results for crystalline ErNi5P2Rh at its relaxed geometry.

Computed properties:
* ρ: 7.53 Mg/m³
* size of the total moment: 0.00 μB per formula unit
* calculated formation energy: -2.028 eV/f.u.
* E_tot: -53.67 eV per formula unit
* crystal system: tetragonal
* space group: P4/mmm (123)

Unit cell a=3.803 b=3.803 c=9.541 alpha=90.00 beta=90.00 gamma=90.00
Positions (direct):
Ni (0.500, 0.500, 0.500)
Ni (0.000, 0.500, 0.168)
Ni (0.000, 0.500, 0.832)
Ni (0.500, 0.000, 0.832)
Ni (0.500, 0.000, 0.168)
P (0.500, 0.500, 0.280)
P (0.500, 0.500, 0.720)
Er (0.000, 0.000, 0.500)
Rh (0.000, 0.000, 0.000)

---

# 7
DFT (PBE) results for crystalline KGe3Au at its relaxed geometry.

Computed properties:
* ρ: 6.59 Mg/m³
* size of the total moment: 0.00 μB per formula unit
* relative energy among the computed polymorphs: 0 meV per atom
* calculated formation energy: -0.722 eV/f.u.
* E_tot: -18.95 eV per formula unit
* crystal system: monoclinic
* space group: Cm (8)

Unit cell a=4.568 b=4.568 c=6.372 alpha=111.11 beta=111.11 gamma=90.06
Positions (direct):
Ge (0.151, 0.652, 0.304)
Ge (0.015, 0.015, 0.029)
Ge (0.652, 0.151, 0.304)
K (0.403, 0.403, 0.805)
Au (0.776, 0.776, 0.552)

---

# 8
DFT (PBE) results for crystalline Sm3HoMg at its relaxed geometry.

Computed properties:
* ρ: 6.65 Mg/m³
* size of the total moment: 0.00 μB per formula unit
* relative energy among the computed polymorphs: 0 meV per atom
* calculated formation energy: 0.271 eV/f.u.
* E_tot: -20.06 eV per formula unit
* crystal system: monoclinic
* space group: C2/m (12)

Unit cell a=5.692 b=6.190 c=9.534 alpha=86.51 beta=107.37 gamma=90.00
Positions (direct):
Ho (0.753, 0.830, 0.505)
Ho (0.247, 0.170, 0.495)
Sm (0.353, 0.654, 0.706)
Sm (0.155, 0.692, 0.309)
Sm (0.845, 0.308, 0.691)
Sm (0.954, 0.774, 0.909)
Sm (0.046, 0.226, 0.091)
Sm (0.647, 0.346, 0.294)
Mg (0.436, 0.158, 0.873)
Mg (0.564, 0.842, 0.127)